# AlFe2Ni

A geometry-optimized AlFe2Ni structure (PBE, Alexandria via LeMat-Bulk).

- formation energy (eV/atom) = -0.038
- space-group type = R-3m (166)
- energy (eV for the cell shown) = -26.60
- calculated density (g/cm³) = 6.80

Lattice parameters (Å, degrees): 8.362 8.362 8.362 17.90 17.90 17.90
Last column: magnetic moment on the atom in μB.
Fractional positions:
Ni1 0.250 0.250 0.250  0.62
Fe1 0.998 0.998 0.998  2.27
Fe2 0.502 0.502 0.502  2.27
Al1 0.750 0.750 0.750  -0.05